(1)
Compound: LiIrRu
Source: Alexandria
Functional: PBE
Structure: optimized geometry

a = 7.212 Å, b = 6.973 Å, c = 2.675 Å
α = 84.21°, β = 74.14°, γ = 21.66°
Element x y z (fractional)
1 Li 0.000 0.000 0.000
2 Ir 0.664 0.664 0.336
3 Ru 0.329 0.329 0.671

calculated volume = 43.1 Å³ per cell
total magnetization = 0.913 Bohr magnetons per cell
formation energy = 235 meV per atom
energy above the most stable polymorph in this dataset = 253 meV/atom

***

(2)
Compound: LiMnMo3
Source: Alexandria
Functional: PBE
Structure: optimized geometry

a = 4.497 Å, b = 4.497 Å, c = 4.497 Å
α = 90.00°, β = 90.00°, γ = 90.00°
Element x y z (fractional)
1 Li 0.000 0.000 0.000
2 Mn 0.500 0.500 0.500
3 Mo 0.000 0.500 0.500
4 Mo 0.500 0.000 0.500
5 Mo 0.500 0.500 0.000

calculated volume = 90.9 Å³ per cell
total magnetization = 0.000 Bohr magnetons per cell
formation energy = 1160 meV per atom
energy above the most stable polymorph in this dataset = 0 meV/atom

***

(3)
Compound: CsSmN
Source: Alexandria
Functional: PBE
Structure: optimized geometry

a = 4.172 Å, b = 4.172 Å, c = 15.192 Å
α = 96.15°, β = 96.15°, γ = 59.87°
Element x y z (fractional)
1 Cs 0.094 0.094 0.348
2 Cs 0.906 0.906 0.652
3 Sm 0.355 0.355 0.081
4 Sm 0.645 0.645 0.919
5 N 0.315 0.315 0.930
6 N 0.685 0.685 0.070

calculated volume = 226.9 Å³ per cell
electronic total energy = -5.272 eV per atom
total magnetization = 0.432 Bohr magnetons per cell